First-principles (PBE with a Hubbard U) data for Mn2HIO6 after structural relaxation, as listed in the Alexandria database.

The space group is P1 (No. 1) and the conventional cell measures 5.2803, 5.5396 and 5.6381 Å, with angles of 98.34, 114.89 and 114.62 degrees. The inequivalent atoms are Mn at (0.0000, 0.0000, 0.0000), Mn at (0.0317, 0.5278, 0.5440), H at (0.5873, 0.0025, 0.2621), I at (0.3830, 0.1746, 0.6247), O at (0.0080, 0.8282, 0.3094), O at (0.1518, 0.2340, 0.7925), O at (0.1722, 0.3361, 0.3448), O at (0.4761, 0.8897, 0.7754), O at (0.5729, 0.1713, 0.3125) and O at (0.8938, 0.6549, 0.7663).

The total energy comes out at -59.20 eV per cell.